[1]
ScMn2Fe: single point on PBEsol structure, SCAN.

Results
E above lowest polymorph	0	meV per atom
theoretical density	6.6	g/cm3
calculated formation energy	42	meV/atom
V	13.3	Å³/atom
size of the total moment	2.2003	μB per atom

```
ScMn2Fe
1.0
-1.781 -1.348 2.900
3.331 -0.769 1.689
-0.013 3.461 1.601
Fe Mn Sc
1 2 1
Direct
0.500 0.000 0.000
0.000 0.000 0.500
0.000 0.500 0.000
0.500 0.500 0.500
```


[2]
La2GeO5: single point on PBEsol structure, SCAN.

Results
theoretical density	6.0	g/cm3
V	14.9	Å³/atom
size of the total moment	0.0000	μB per atom
E_form (uncorrected)	-3.159	eV/atom

```
La2GeO5
1.0
7.042 0.000 -0.004
0.000 7.433 0.000
-2.872 0.000 9.132
La Ge O
8 4 20
Direct
0.915 0.354 0.616
0.415 0.146 0.616
0.235 0.625 0.023
0.085 0.646 0.384
0.735 0.875 0.023
0.765 0.375 0.977
0.585 0.854 0.384
0.265 0.125 0.977
0.459 0.589 0.702
0.959 0.911 0.702
0.041 0.089 0.298
0.541 0.411 0.298
0.557 0.227 0.410
0.010 0.862 0.892
0.990 0.138 0.108
0.448 0.879 0.113
0.443 0.773 0.590
0.510 0.638 0.892
0.253 0.954 0.370
0.552 0.121 0.887
0.247 0.454 0.630
0.144 0.079 0.709
0.943 0.727 0.590
0.948 0.621 0.113
0.753 0.546 0.370
0.057 0.273 0.410
0.747 0.046 0.630
0.052 0.379 0.887
0.856 0.921 0.291
0.356 0.579 0.291
0.490 0.362 0.108
0.644 0.421 0.709
```


[3]
Re2RhSe: single point on PBEsol structure, SCAN.

Results
theoretical density	15.8	g/cm3
V	14.6	Å³/atom
size of the total moment	0.0000	μB per atom
E_form (uncorrected)	0.629	eV/atom

```
Re2RhSe
1.0
-1.590 3.066 -1.898
-0.120 -2.118 -3.321
-2.579 -1.695 3.513
Re Rh Se
2 1 1
Direct
0.000 0.000 0.000
0.750 0.250 0.500
0.500 0.500 0.000
0.250 0.750 0.500
```


[4]
BaIrIN2: single point on PBEsol structure, SCAN.

Results
theoretical density	6.3	g/cm3
V	25.6	Å³/atom
size of the total moment	0.6701	μB per atom
E_form (uncorrected)	2.270	eV/atom

```
BaIrIN2
1.0
4.340 0.000 0.000
0.000 4.340 0.000
0.000 0.000 6.800
I Ir Ba N
1 1 1 2
Direct
0.000 0.000 0.500
0.500 0.500 0.500
0.000 0.000 0.000
0.000 0.500 0.000
0.500 0.000 0.000
```


[5]
Mg2C: single point on PBEsol structure, SCAN.

Results
E above lowest polymorph	181	meV per atom
theoretical density	2.0	g/cm3
calculated formation energy	473	meV/atom
V	17.2	Å³/atom
size of the total moment	0.0081	μB per atom

```
Mg2C
1.0
3.491 0.000 0.000
-1.746 3.034 0.008
0.000 -0.144 4.870
Mg C
2 1
Direct
0.337 0.674 0.692
0.663 0.326 0.308
0.000 0.000 0.500
```


[6]
W2AuBr: single point on PBEsol structure, SCAN.

Results
E above lowest polymorph	0	meV per atom
theoretical density	16.8	g/cm3
V	15.9	Å³/atom
size of the total moment	0.0000	μB per atom
E_form (uncorrected)	1.200	eV/atom

```
W2AuBr
1.0
3.098 0.000 0.000
0.000 3.098 0.000
0.000 0.000 6.637
Au Br W
1 1 2
Direct
0.500 0.500 0.000
0.500 0.500 0.500
0.000 0.000 0.746
0.000 0.000 0.254
```


Sequential electronic total energy output: -68.71 -161.73 -193.53 -154.63 -18.63 -223.19 eV per formula unit
Sequential DOS at the Fermi energy output: 0.638 0.000 0.793 0.616 0.353 0.626 states/eV/atom